VASP calculation (PBE+U) on a relaxed HfTlFeO4 crystal.

For the electronic total energy, the calculation gives -7.442 eV per atom. The space group is No. 11.

a b c (Å): 5.620 5.686 7.462
angles (deg): 90.00 91.45 90.00
Positions (direct):
Hf  0.166  0.250  0.468
Hf  0.834  0.750  0.532
Tl  0.253  0.750  0.133
Tl  0.747  0.250  0.867
Fe  0.349  0.750  0.664
Fe  0.651  0.250  0.336
O  0.099  0.515  0.653
O  0.099  0.985  0.653
O  0.347  0.250  0.231
O  0.481  0.750  0.431
O  0.519  0.250  0.569
O  0.653  0.750  0.769
O  0.901  0.015  0.347
O  0.901  0.485  0.347